A relaxed structure of Pm2MgGe4Pt3, computed with GGA-PBE.

Calculated density   10.1 g cm⁻³
Formation energy   -0.872 eV/atom
Calculated total energy   -5.641 eV/atom

Cell lengths 4.252, 4.252, 10.867 Å; angles 90.00, 90.00, 90.00 degrees
Space group P-4m2 (No. 115)
Symmetry-distinct sites (fractional):
1 Pm 0.000 0.500 0.247 x2
2 Mg 0.000 0.000 0.500 x1
3 Ge 0.000 0.000 0.000 x1
4 Ge 0.000 0.500 0.646 x2
5 Ge 0.500 0.500 0.000 x1
6 Pt 0.000 0.500 0.874 x2
7 Pt 0.500 0.500 0.500 x1

***

A relaxed structure of Cs3Pu2O4F3, computed with GGA-PBE.

Calculated density   6.5 g cm⁻³
Calculated total energy   -7.422 eV/atom
Formation energy from raw total energies   -2699 meV/atom

Cell lengths 4.325, 4.796, 24.650 Å; angles 90.00, 90.00, 90.00 degrees
Space group Immm (No. 71)
Symmetry-distinct sites (fractional):
1 Cs 0.000 0.000 0.000 x2
2 Cs 0.000 0.000 0.195 x4
3 Pu 0.000 0.000 0.400 x4
4 O 0.000 0.000 0.320 x4
5 O 0.000 0.500 0.093 x4
6 F 0.000 0.000 0.500 x2
7 F 0.000 0.500 0.406 x4

***

A relaxed structure of La3YTl, computed with GGA-PBE.

Calculated density   7.1 g cm⁻³
Polymorph energy (0 for the lowest one)   0.0 kJ/mol of formula units
Formation energy   -0.096 eV/atom
Calculated total energy   -4.818 eV/atom

Cell lengths 5.985, 18.703, 5.941 Å; angles 90.00, 90.00, 90.00 degrees
Space group Cmcm (No. 63)
Symmetry-distinct sites (fractional):
1 La 0.000 0.057 0.250 x4
2 La 0.000 0.249 0.250 x4
3 La 0.000 0.442 0.250 x4
4 Y 0.000 0.352 0.750 x4
5 Tl 0.000 0.153 0.750 x4

***

Which of these has the lowest calculated density?
Cs3Pu2O4F3

***

Which of these has the lowest calculated total energy?
Cs3Pu2O4F3

***

calculated total energy of number 2 (Cs3Pu2O4F3)?
-7.422 eV/atom

***

What is the formula in the third record?
La3YTl